## PRuAu2 (GGA-PBEsol)

Data for a relaxed structure of PRuAu2.

V: 63.9 Å³/cell
crystal system: monoclinic

Geometry as CIF:
```
data_PRuAu2
_cell_length_a 2.9492
_cell_length_b 4.6957
_cell_length_c 4.6381
_cell_angle_alpha 90.00
_cell_angle_beta 95.86
_cell_angle_gamma 90.00
_space_group_name_H-M_alt 'P 1 2/m 1'
_space_group_IT_number 10
_space_group_name_Hall '-P 2y'
loop_
_atom_site_label
_atom_site_type_symbol
_atom_site_fract_x
_atom_site_fract_y
_atom_site_fract_z
P1 P 0.0000 0.0000 0.0000
Ru1 Ru 0.0000 0.0000 0.5000
Au1 Au 0.2756 0.5000 0.2464
```

---

## PRu2Au (GGA-PBEsol)

Data for a relaxed structure of PRu2Au.

V: 57.4 Å³/cell
crystal system: orthorhombic

Geometry as CIF:
```
data_PRu2Au
_cell_length_a 2.7925
_cell_length_b 4.4298
_cell_length_c 4.6380
_cell_angle_alpha 90.00
_cell_angle_beta 90.00
_cell_angle_gamma 90.00
_space_group_name_H-M_alt 'P m m m'
_space_group_IT_number 47
_space_group_name_Hall '-P 2 2'
loop_
_atom_site_label
_atom_site_type_symbol
_atom_site_fract_x
_atom_site_fract_y
_atom_site_fract_z
P1 P 0.0000 0.0000 0.0000
Ru1 Ru 0.0000 0.5000 0.5000
Ru2 Ru 0.5000 0.5000 0.0000
Au1 Au 0.5000 0.0000 0.5000
```

---

## PRu2Au (GGA-PBEsol)

Data for a relaxed structure of PRu2Au.

V: 110.9 Å³/cell
crystal system: orthorhombic

Geometry as CIF:
```
data_PRu2Au
_cell_length_a 6.0692
_cell_length_b 6.0765
_cell_length_c 3.0081
_cell_angle_alpha 90.00
_cell_angle_beta 90.00
_cell_angle_gamma 90.00
_space_group_name_H-M_alt 'C m m m'
_space_group_IT_number 65
_space_group_name_Hall '-C 2 2'
loop_
_atom_site_label
_atom_site_type_symbol
_atom_site_fract_x
_atom_site_fract_y
_atom_site_fract_z
P1 P 0.0000 0.0000 0.0000
Ru1 Ru 0.2500 0.2500 0.5000
Au1 Au 0.0000 0.5000 0.0000
```

---

Number 1: formation energy from the elements 355 meV/atom, electronic total energy -22.39 eV for the cell shown, magnetic moment 0.057 μB per atom. Number 2: formation energy from the elements 520 meV/atom, electronic total energy -27.98 eV for the cell shown, magnetic moment 0.001 μB per atom. Number 3: formation energy from the elements 254 meV/atom, electronic total energy -58.09 eV for the cell shown, magnetic moment 0.000 μB per atom.